[1]
The following is a PBE calculation of a relaxed Y2ErGa crystal, from the Alexandria database.

a = 3.4943 Å, b = 3.4943 Å, c = 34.8839 Å
α = 90.00°, β = 90.00°, γ = 120.00°
Element x y z (fractional)
Y 0.0000 0.0000 0.0857
Y 0.0000 0.0000 0.9143
Y 0.3333 0.6667 0.5809
Y 0.3333 0.6667 0.7524
Y 0.6667 0.3333 0.2476
Y 0.6667 0.3333 0.4191
Er 0.0000 0.0000 0.5000
Er 0.3333 0.6667 0.1667
Er 0.6667 0.3333 0.8333
Ga 0.0000 0.0000 0.0000
Ga 0.3333 0.6667 0.6667
Ga 0.6667 0.3333 0.3333

## Properties
* energy of formation from the pure elements: 0.143 eV per atom
* crystal system: trigonal
* energy above the most stable polymorph in this dataset: 0.444 eV per atom
* density of states at the Fermi level: 4.39 states/eV/f.u.

***

[2]
The following is a PBE calculation of a relaxed Y3ErGa2 crystal, from the Alexandria database.

a = 8.7139 Å, b = 8.7139 Å, c = 8.7139 Å
α = 133.33°, β = 69.90°, γ = 131.11°
Element x y z (fractional)
Y 0.0262 0.7500 0.2762
Y 0.2500 0.2500 0.0000
Y 0.4738 0.7500 0.7238
Y 0.5262 0.2500 0.2762
Y 0.7500 0.7500 0.0000
Y 0.9738 0.2500 0.7238
Er 0.0000 0.5000 0.5000
Er 0.5000 0.0000 0.5000
Ga 0.1361 0.2027 0.3388
Ga 0.3639 0.7027 0.0666
Ga 0.6361 0.2973 0.9334
Ga 0.8639 0.7973 0.6612

## Properties
* energy of formation from the pure elements: -0.224 eV per atom
* crystal system: orthorhombic
* energy above the most stable polymorph in this dataset: 0.221 eV per atom
* density of states at the Fermi level: 6.87 states/eV/f.u.

***

What did the first record say?
The following is a PBE calculation of a relaxed Y2ErGa crystal, from the Alexandria database.

a = 3.4943 Å, b = 3.4943 Å, c = 34.8839 Å
α = 90.00°, β = 90.00°, γ = 120.00°
Element x y z (fractional)
Y 0.0000 0.0000 0.0857
Y 0.0000 0.0000 0.9143
Y 0.3333 0.6667 0.5809
Y 0.3333 0.6667 0.7524
Y 0.6667 0.3333 0.2476
Y 0.6667 0.3333 0.4191
Er 0.0000 0.0000 0.5000
Er 0.3333 0.6667 0.1667
Er 0.6667 0.3333 0.8333
Ga 0.0000 0.0000 0.0000
Ga 0.3333 0.6667 0.6667
Ga 0.6667 0.3333 0.3333

## Properties
* energy of formation from the pure elements: 0.143 eV per atom
* crystal system: trigonal
* energy above the most stable polymorph in this dataset: 0.444 eV per atom
* density of states at the Fermi level: 4.39 states/eV/f.u.

***

Among the records above, which one has the lowest energy of formation from the pure elements?
Y3ErGa2

***

Which of these has the highest energy of formation from the pure elements?
Y2ErGa